Compound: Ni2IrRu
Source: Alexandria
Functional: PBE
Structure: relaxed

N(E_F), states/eV/atom: 0.967
ΔH_f (0 K), eV/atom: -0.001
SG: I-4m2
V, A^3/atom: 12.6
DFT total energy, eV per cell: -29.70

a b c (Å): 4.572 4.572 4.572
angles (deg): 132.91 132.93 68.78
Element x y z (fractional)
Ni  0.250  0.750  0.500
Ni  0.000  0.000  0.000
Ir  0.750  0.250  0.500
Ru  0.500  0.500  0.000